(1)
First-principles (PBE) data for crystalline FeHgW2 at its relaxed geometry, as listed in Alexandria.

Properties
ΔH_f (0 K) (meV/atom): 588
DOS(E_F) (states/eV/atom): 0.723

```
data_FeHgW2
_chemical_formula_sum 'Fe2 Hg2 W4'
_symmetry_space_group_name_H-M 'C 1 2/m 1'
_symmetry_Int_Tables_number 12
_cell_length_a 9.730
_cell_length_b 2.990
_cell_length_c 4.599
_cell_angle_alpha 90.00
_cell_angle_beta 106.28
_cell_angle_gamma 90.00
loop_
_symmetry_equiv_pos_as_xyz
'x,y,z'
'-x,-y,-z'
'-x,y,-z'
'x,-y,z'
'x+1/2,y+1/2,z'
'-x+1/2,-y+1/2,-z'
'-x+1/2,y+1/2,-z'
'x+1/2,-y+1/2,z'
loop_
_atom_site_label
_atom_site_type_symbol
_atom_site_fract_x
_atom_site_fract_y
_atom_site_fract_z
_atom_site_occupancy
Fe1 Fe 0.000 0.000 0.000 1
Hg1 Hg 0.000 0.500 0.500 1
W1 W 0.237 0.500 0.233 1
```

(2)
First-principles (PBE) data for crystalline Na3In2Hg2Bi4 at its relaxed geometry, as listed in Alexandria.

Properties
ΔH_f (0 K) (meV/atom): -142
DOS(E_F) (states/eV/atom): 0.087

```
data_Na3In2Hg2Bi4
_chemical_formula_sum 'Na3 In2 Hg2 Bi4'
_symmetry_space_group_name_H-M 'P -3 m 1'
_symmetry_Int_Tables_number 164
_symmetry_space_group_name_Hall '-P 3 2"'
_cell_length_a 5.0119
_cell_length_b 5.0119
_cell_length_c 16.2632
_cell_angle_alpha 90.00
_cell_angle_beta 90.00
_cell_angle_gamma 120.00
loop_
_atom_site_label
_atom_site_type_symbol
_atom_site_fract_x
_atom_site_fract_y
_atom_site_fract_z
_atom_site_occupancy
Na1 Na 0.0000 0.0000 0.0000 1
Na2 Na 0.0000 0.0000 0.2527 1
In1 In 0.3333 0.6667 0.5657 1
Hg1 Hg 0.3333 0.6667 0.1595 1
Bi1 Bi 0.3333 0.6667 0.3735 1
Bi2 Bi 0.3333 0.6667 0.8853 1
```

(3)
First-principles (PBE) data for crystalline InCoMo2 at its relaxed geometry, as listed in Alexandria.

Properties
ΔH_f (0 K) (meV/atom): 284
DOS(E_F) (states/eV/atom): 0.582

```
data_InCoMo2
_chemical_formula_sum 'In1 Co1 Mo2'
_symmetry_space_group_name_H-M 'P 1 2/m 1'
_symmetry_Int_Tables_number 10
_cell_length_a 2.788
_cell_length_b 4.163
_cell_length_c 5.451
_cell_angle_alpha 90.00
_cell_angle_beta 94.67
_cell_angle_gamma 90.00
loop_
_symmetry_equiv_pos_as_xyz
'x,y,z'
'-x,-y,-z'
'-x,y,-z'
'x,-y,z'
loop_
_atom_site_label
_atom_site_type_symbol
_atom_site_fract_x
_atom_site_fract_y
_atom_site_fract_z
_atom_site_occupancy
In1 In 0.000 0.000 0.000 1
Co1 Co 0.000 0.000 0.500 1
Mo1 Mo 0.464 0.500 0.722 1
```

(4)
First-principles (PBE) data for crystalline PmY2P3 at its relaxed geometry, as listed in Alexandria.

Properties
ΔH_f (0 K) (meV/atom): -1601
DOS(E_F) (states/eV/atom): 0.128

```
data_PmY2P3
_chemical_formula_sum 'Pm2 Y4 P6'
_symmetry_space_group_name_H-M 'I m m m'
_symmetry_Int_Tables_number 71
_symmetry_space_group_name_Hall '-I 2 2'
_cell_length_a 4.057
_cell_length_b 5.736
_cell_length_c 12.157
_cell_angle_alpha 90.00
_cell_angle_beta 90.00
_cell_angle_gamma 90.00
loop_
_atom_site_label
_atom_site_type_symbol
_atom_site_fract_x
_atom_site_fract_y
_atom_site_fract_z
_atom_site_occupancy
Pm1 Pm 0.000 0.000 0.000 1
Y1 Y 0.000 0.000 0.334 1
P1 P 0.000 0.500 0.000 1
P2 P 0.000 0.500 0.330 1
```

(5)
First-principles (PBE) data for crystalline TaIn2Pb at its relaxed geometry, as listed in Alexandria.

Properties
ΔH_f (0 K) (meV/atom): 366
DOS(E_F) (states/eV/atom): 0.630

```
data_TaIn2Pb
_chemical_formula_sum 'Ta2 In4 Pb2'
_symmetry_space_group_name_H-M 'I m m m'
_symmetry_Int_Tables_number 71
_symmetry_space_group_name_Hall '-I 2 2'
_cell_length_a 3.011
_cell_length_b 5.010
_cell_length_c 13.951
_cell_angle_alpha 90.00
_cell_angle_beta 90.00
_cell_angle_gamma 90.00
loop_
_atom_site_label
_atom_site_type_symbol
_atom_site_fract_x
_atom_site_fract_y
_atom_site_fract_z
_atom_site_occupancy
Ta1 Ta 0.000 0.000 0.000 1
In1 In 0.000 0.500 0.310 1
Pb1 Pb 0.000 0.000 0.500 1
```

(6)
First-principles (PBE) data for crystalline PaPtRhAu at its relaxed geometry, as listed in Alexandria.

Properties
ΔH_f (0 K) (meV/atom): -656
DOS(E_F) (states/eV/atom): 0.909

```
data_PaPtRhAu
_chemical_formula_sum 'Pa4 Pt4 Rh4 Au4'
_symmetry_space_group_name_H-M 'F -4 3 m'
_symmetry_Int_Tables_number 216
_symmetry_space_group_name_Hall 'F -4 2 3'
_cell_length_a 6.705
_cell_length_b 6.705
_cell_length_c 6.705
_cell_angle_alpha 90.00
_cell_angle_beta 90.00
_cell_angle_gamma 90.00
loop_
_atom_site_label
_atom_site_type_symbol
_atom_site_fract_x
_atom_site_fract_y
_atom_site_fract_z
_atom_site_occupancy
Pa1 Pa 0.000 0.000 0.000 1
Pt1 Pt 0.250 0.250 0.250 1
Rh1 Rh 0.250 0.250 0.750 1
Au1 Au 0.000 0.000 0.500 1
```

(7)
First-principles (PBE) data for crystalline PuGaAgO6 at its relaxed geometry, as listed in Alexandria.

Properties
ΔE_f (raw) (eV per atom): -1.499
DOS(E_F) (states/eV/atom): 0.867

```
data_PuGaAgO6
_chemical_formula_sum 'Pu2 Ga2 Ag2 O12'
_symmetry_space_group_name_H-M 'P -3 1 c'
_symmetry_Int_Tables_number 163
_symmetry_space_group_name_Hall '-P 3 2c'
_cell_length_a 5.2984
_cell_length_b 5.2984
_cell_length_c 9.7048
_cell_angle_alpha 90.00
_cell_angle_beta 90.00
_cell_angle_gamma 120.00
loop_
_atom_site_label
_atom_site_type_symbol
_atom_site_fract_x
_atom_site_fract_y
_atom_site_fract_z
_atom_site_occupancy
Pu1 Pu 0.3333 0.6667 0.2500 1
Ga1 Ga 0.3333 0.6667 0.7500 1
Ag1 Ag 0.0000 0.0000 0.0000 1
O1 O 0.9998 0.3603 0.1378 1
```

(8)
First-principles (PBE) data for crystalline NaAlGeO4 at its relaxed geometry, as listed in Alexandria.

Properties
ΔE_f (raw) (eV per atom): -2.245
DOS(E_F) (states/eV/atom): 0.000

```
data_NaAlGeO4
_chemical_formula_sum 'Na12 Al12 Ge12 O48'
_symmetry_space_group_name_H-M 'P 1 21/c 1'
_symmetry_Int_Tables_number 14
_cell_length_a 8.906
_cell_length_b 8.384
_cell_length_c 17.970
_cell_angle_alpha 90.00
_cell_angle_beta 119.63
_cell_angle_gamma 90.00
loop_
_symmetry_equiv_pos_as_xyz
'x,y,z'
'-x,-y,-z'
'-x,y+1/2,-z+1/2'
'x,-y+1/2,z+1/2'
loop_
_atom_site_label
_atom_site_type_symbol
_atom_site_fract_x
_atom_site_fract_y
_atom_site_fract_z
_atom_site_occupancy
Na1 Na 0.003 0.052 0.247 1
Na2 Na 0.287 0.525 0.565 1
Na3 Na 0.360 0.531 0.089 1
Al1 Al 0.023 0.669 0.922 1
Al2 Al 0.315 0.670 0.737 1
Al3 Al 0.348 0.166 0.908 1
Ge1 Ge 0.030 0.217 0.422 1
Ge2 Ge 0.315 0.217 0.234 1
Ge3 Ge 0.348 0.721 0.410 1
O1 O 0.077 0.734 0.521 1
O2 O 0.117 0.724 0.190 1
O3 O 0.118 0.023 0.449 1
O4 O 0.122 0.727 0.372 1
O5 O 0.204 0.151 0.949 1
O6 O 0.204 0.153 0.646 1
O7 O 0.239 0.237 0.308 1
O8 O 0.263 0.022 0.190 1
O9 O 0.401 0.648 0.849 1
O10 O 0.407 0.528 0.393 1
O11 O 0.457 0.734 0.020 1
O12 O 0.459 0.742 0.208 1
```

(9)
First-principles (PBE) data for crystalline Rb2SnCl4 at its relaxed geometry, as listed in Alexandria.

Properties
ΔE_f (raw) (eV per atom): -1.543
DOS(E_F) (states/eV/atom): 0.000

```
data_Rb2SnCl4
_chemical_formula_sum 'Rb4 Sn2 Cl8'
_symmetry_space_group_name_H-M 'I 4/m m m'
_symmetry_Int_Tables_number 139
_symmetry_space_group_name_Hall '-I 4 2'
_cell_length_a 5.584
_cell_length_b 5.584
_cell_length_c 16.749
_cell_angle_alpha 90.00
_cell_angle_beta 90.00
_cell_angle_gamma 90.00
loop_
_atom_site_label
_atom_site_type_symbol
_atom_site_fract_x
_atom_site_fract_y
_atom_site_fract_z
_atom_site_occupancy
Rb1 Rb 0.000 0.000 0.140 1
Sn1 Sn 0.000 0.000 0.500 1
Cl1 Cl 0.000 0.000 0.332 1
Cl2 Cl 0.000 0.500 0.000 1
```

(10)
First-principles (PBE) data for crystalline TaNiRh at its relaxed geometry, as listed in Alexandria.

Properties
ΔH_f (0 K) (meV/atom): -425
DOS(E_F) (states/eV/atom): 0.549

```
data_TaNiRh
_chemical_formula_sum 'Ta4 Ni4 Rh4'
_symmetry_space_group_name_H-M 'P n m a'
_symmetry_Int_Tables_number 62
_cell_length_a 5.542
_cell_length_b 3.822
_cell_length_c 8.124
_cell_angle_alpha 90.00
_cell_angle_beta 90.00
_cell_angle_gamma 90.00
loop_
_symmetry_equiv_pos_as_xyz
'x,y,z'
'-x,-y,-z'
'-x+1/2,-y,z+1/2'
'x+1/2,y,-z+1/2'
'x+1/2,-y+1/2,-z+1/2'
'-x+1/2,y+1/2,z+1/2'
'-x,y+1/2,-z'
'x,-y+1/2,z'
loop_
_atom_site_label
_atom_site_type_symbol
_atom_site_fract_x
_atom_site_fract_y
_atom_site_fract_z
_atom_site_occupancy
Ta1 Ta 0.162 0.250 0.096 1
Ni1 Ni 0.134 0.250 0.421 1
Rh1 Rh 0.111 0.250 0.761 1
```

(11)
First-principles (PBE) data for crystalline BaHgP at its relaxed geometry, as listed in Alexandria.

Properties
ΔH_f (0 K) (meV/atom): -470
DOS(E_F) (states/eV/atom): 0.426

```
data_BaHgP
_chemical_formula_sum 'Ba4 Hg4 P4'
_symmetry_space_group_name_H-M 'F -4 3 m'
_symmetry_Int_Tables_number 216
_symmetry_space_group_name_Hall 'F -4 2 3'
_cell_length_a 7.365
_cell_length_b 7.365
_cell_length_c 7.365
_cell_angle_alpha 90.00
_cell_angle_beta 90.00
_cell_angle_gamma 90.00
loop_
_atom_site_label
_atom_site_type_symbol
_atom_site_fract_x
_atom_site_fract_y
_atom_site_fract_z
_atom_site_occupancy
Ba1 Ba 0.000 0.000 0.000 1
Hg1 Hg 0.000 0.000 0.500 1
P1 P 0.250 0.250 0.250 1
```

(12)
First-principles (PBE) data for crystalline Zr4NiPd12 at its relaxed geometry, as listed in Alexandria.

Properties
ΔH_f (0 K) (meV/atom): -548
DOS(E_F) (states/eV/atom): 0.415

```
data_Zr4NiPd12
_chemical_formula_sum 'Zr8 Ni2 Pd24'
_symmetry_space_group_name_H-M 'I m -3 m'
_symmetry_Int_Tables_number 229
_symmetry_space_group_name_Hall '-I 4 2 3'
_cell_length_a 8.279
_cell_length_b 8.279
_cell_length_c 8.279
_cell_angle_alpha 90.00
_cell_angle_beta 90.00
_cell_angle_gamma 90.00
loop_
_atom_site_label
_atom_site_type_symbol
_atom_site_fract_x
_atom_site_fract_y
_atom_site_fract_z
_atom_site_occupancy
Zr1 Zr 0.250 0.250 0.250 1
Ni1 Ni 0.000 0.000 0.000 1
Pd1 Pd 0.000 0.000 0.286 1
Pd2 Pd 0.000 0.250 0.500 1
```

Number 1: ρ 16.14 g/cm3. Number 2: ρ 7.21 g/cm3. Number 3: ρ 9.63 g/cm3. Number 4: ρ 4.88 g/cm3. Number 5: ρ 9.75 g/cm3. Number 6: ρ 16.00 g/cm3. Number 7: ρ 7.29 g/cm3. Number 8: ρ 3.19 g/cm3. Number 9: ρ 2.74 g/cm3. Number 10: ρ 13.22 g/cm3. Number 11: ρ 6.13 g/cm3. Number 12: ρ 9.95 g/cm3.